1.
DFT (PBE) results for a geometry-optimized SrTaCu structure.

Lattice parameters (Å, degrees): 7.372 9.484 4.275 90.00 90.00 90.00
Element x y z (fractional)
Ta1 0.333 0.250 0.000
Cu1 0.833 0.750 0.500
Sr1 0.500 0.000 0.500
Sr2 0.000 0.500 0.000
Cu2 0.667 0.250 0.000
Ta2 0.167 0.750 0.500
Ta3 0.667 0.750 0.000
Sr3 0.000 0.000 0.000
Sr4 0.500 0.500 0.500
Cu3 0.167 0.250 0.500
Cu4 0.333 0.750 0.000
Ta4 0.833 0.250 0.500

E_form	0.81	eV/atom
density	7.4	g cm⁻³
electronic total energy	-5.0630	eV/atom


2.
DFT (PBE) results for a geometry-optimized Sr2TaCu structure.

Lattice parameters (Å, degrees): 3.348 3.348 10.019 70.49 90.00 90.00
Element x y z (fractional)
Sr1 0.000 0.481 0.519
Cu1 0.500 0.750 0.750
Sr2 0.000 0.019 0.981
Ta1 0.500 0.250 0.250

E_form	0.70	eV/atom
density	6.6	g cm⁻³
electronic total energy	-4.1292	eV/atom


3.
DFT (PBE) results for a geometry-optimized SrTa2Cu structure.

Lattice parameters (Å, degrees): 4.931 4.931 9.963 75.67 75.67 90.00
Element x y z (fractional)
Cu1 0.250 0.750 0.500
Cu2 0.500 0.500 0.000
Ta1 0.375 0.125 0.250
Sr1 0.750 0.250 0.500
Ta2 0.875 0.625 0.750
Sr2 0.000 0.000 0.000
Ta3 0.375 0.625 0.750
Ta4 0.375 0.625 0.250

E_form	1.19	eV/atom
density	7.5	g cm⁻³
electronic total energy	-6.1837	eV/atom